No. 1
## TbSm2Er5Mg (GGA-PBE)

Data for a relaxed TbSm2Er5Mg crystal.

Output
Energy relative to the elements   0.102 eV/atom
Total magnetization   0.00 μB/f.u.
Crystal system   orthorhombic

Lattice parameters (Å, degrees): 10.386 10.386 10.403 90.00 90.00 149.84
Positions (direct):
Tb (0.206, 0.794, 0.500)
Tb (0.794, 0.206, 0.000)
Sm (0.115, 0.885, 0.212)
Sm (0.115, 0.885, 0.789)
Sm (0.885, 0.115, 0.289)
Sm (0.885, 0.115, 0.712)
Er (0.013, 0.987, 0.500)
Er (0.289, 0.711, 0.801)
Er (0.290, 0.710, 0.199)
Er (0.383, 0.617, 0.500)
Er (0.499, 0.501, 0.249)
Er (0.501, 0.499, 0.749)
Er (0.617, 0.383, 0.000)
Er (0.710, 0.290, 0.699)
Er (0.711, 0.289, 0.301)
Er (0.987, 0.013, 0.000)
Mg (0.405, 0.595, 0.998)
Mg (0.595, 0.405, 0.498)

No. 2
## SrNiN (GGA-PBE)

Data for a relaxed SrNiN crystal.

Output
Formation energy (no corrections)   -1.7 eV/f.u.
Total magnetization   0.00 μB/f.u.
Crystal system   orthorhombic

Lattice parameters (Å, degrees): 9.124 13.298 5.228 90.00 90.00 90.00
Positions (direct):
Sr (0.008, 0.250, 0.006)
Sr (0.168, 0.587, 0.523)
Sr (0.168, 0.913, 0.523)
Sr (0.332, 0.087, 0.023)
Sr (0.332, 0.413, 0.023)
Sr (0.492, 0.750, 0.506)
Sr (0.508, 0.250, 0.494)
Sr (0.668, 0.587, 0.977)
Sr (0.668, 0.913, 0.977)
Sr (0.832, 0.087, 0.477)
Sr (0.832, 0.413, 0.477)
Sr (0.992, 0.750, 0.994)
Ni (0.000, 0.000, 0.000)
Ni (0.000, 0.500, 0.000)
Ni (0.159, 0.161, 0.537)
Ni (0.159, 0.339, 0.537)
Ni (0.341, 0.661, 0.037)
Ni (0.341, 0.839, 0.037)
Ni (0.500, 0.000, 0.500)
Ni (0.500, 0.500, 0.500)
Ni (0.659, 0.161, 0.963)
Ni (0.659, 0.339, 0.963)
Ni (0.841, 0.661, 0.463)
Ni (0.841, 0.839, 0.463)
N (0.079, 0.077, 0.765)
N (0.079, 0.423, 0.765)
N (0.241, 0.250, 0.308)
N (0.259, 0.750, 0.808)
N (0.421, 0.577, 0.265)
N (0.421, 0.923, 0.265)
N (0.579, 0.077, 0.735)
N (0.579, 0.423, 0.735)
N (0.741, 0.250, 0.192)
N (0.759, 0.750, 0.692)
N (0.921, 0.577, 0.235)
N (0.921, 0.923, 0.235)